[1]
Compound: TlIr3Pb
Source: the Alexandria database
Functional: PBE
Structure: optimized geometry

Calculated values
offset from the most stable computed form = 0 meV per atom
space-group type = Pm-3m
E = -22.764 eV/cell
formation enthalpy at 0 K = 1.98 eV per atom

Cell: 5.0127 5.0127 5.0127 Å, 90.00 90.00 90.00°
Closest atoms and distances in Å follow each position.
Sites, in units of the cell vectors:
1 Tl 0.0000 0.0000 0.0000  6 Ir 2.51
2 Ir 0.0000 0.0000 0.5000  2 Tl 2.51
3 Ir 0.0000 0.5000 0.0000  2 Tl 2.51
4 Ir 0.5000 0.0000 0.0000  2 Tl 2.51
5 Pb 0.5000 0.5000 0.5000  12 Ir 3.54


[2]
Compound: TlIrPb
Source: the Alexandria database
Functional: PBE
Structure: optimized geometry

Calculated values
offset from the most stable computed form = 155 meV per atom
space-group type = P3m1
E = -13.740 eV/cell
formation enthalpy at 0 K = 0.40 eV per atom

Cell: 3.3733 3.3733 7.3143 Å, 90.00 90.00 120.00°
Closest atoms and distances in Å follow each position.
Sites, in units of the cell vectors:
1 Tl 0.0000 0.0000 0.0000  3 Ir 2.89
2 Ir 0.3333 0.6667 0.2918  3 Pb 2.82, 3 Tl 2.89
3 Pb 0.6667 0.3333 0.5709  3 Ir 2.82


[3]
Compound: TlIr2Pb
Source: the Alexandria database
Functional: PBE
Structure: optimized geometry

Calculated values
offset from the most stable computed form = 106 meV per atom
space-group type = Cm
E = -43.475 eV/cell
formation enthalpy at 0 K = 0.51 eV per atom

Cell: 10.5658 2.9678 5.3502 Å, 90.00 107.10 90.00°
Closest atoms and distances in Å follow each position.
Sites, in units of the cell vectors:
1 Tl 0.0000 0.0000 0.0000  7 Ir 2.86-3.18, 2 Tl 2.97
2 Tl 0.5000 0.5000 0.0000  7 Ir 2.86-3.18, 2 Tl 2.97
3 Ir 0.2578 0.5000 0.1378  2 Ir 2.63, 1 Tl 2.86
4 Ir 0.4348 0.0000 0.4724  2 Ir 2.63, 1 Pb 2.89
5 Ir 0.7578 0.0000 0.1378  2 Ir 2.63, 1 Tl 2.86
6 Ir 0.9348 0.5000 0.4724  2 Ir 2.63, 1 Pb 2.89
7 Pb 0.1948 0.0000 0.6258  5 Ir 2.89-3.02, 2 Pb 2.97
8 Pb 0.6948 0.5000 0.6258  5 Ir 2.89-3.02, 2 Pb 2.97


[4]
Compound: Tl2IrPb
Source: the Alexandria database
Functional: PBE
Structure: optimized geometry

Calculated values
offset from the most stable computed form = 128 meV per atom
space-group type = I-42d
E = -63.450 eV/cell
formation enthalpy at 0 K = 0.36 eV per atom

Cell: 9.4712 9.4712 5.2597 Å, 90.00 90.00 90.00°
Closest atoms and distances in Å follow each position.
Sites, in units of the cell vectors:
1 Tl 0.1426 0.2500 0.1250  2 Ir 2.80
2 Tl 0.2500 0.6426 0.3750  2 Ir 2.80
3 Tl 0.2500 0.8574 0.8750  2 Ir 2.80
4 Tl 0.3574 0.2500 0.6250  2 Ir 2.80
5 Tl 0.6426 0.7500 0.6250  2 Ir 2.80
6 Tl 0.7500 0.1426 0.8750  2 Ir 2.80
7 Tl 0.7500 0.3574 0.3750  2 Ir 2.80
8 Tl 0.8574 0.7500 0.1250  2 Ir 2.80
9 Ir 0.0000 0.0000 0.0000  2 Pb 2.63, 4 Tl 2.80
10 Ir 0.0000 0.5000 0.2500  2 Pb 2.63, 4 Tl 2.80
11 Ir 0.5000 0.0000 0.7500  2 Pb 2.63, 4 Tl 2.80
12 Ir 0.5000 0.5000 0.5000  2 Pb 2.63, 4 Tl 2.80
13 Pb 0.0000 0.0000 0.5000  2 Ir 2.63
14 Pb 0.0000 0.5000 0.7500  2 Ir 2.63
15 Pb 0.5000 0.0000 0.2500  2 Ir 2.63
16 Pb 0.5000 0.5000 0.0000  2 Ir 2.63


[5]
Compound: Tl2IrPb
Source: the Alexandria database
Functional: PBE
Structure: optimized geometry

Calculated values
offset from the most stable computed form = 0 meV per atom
space-group type = Pmm2
E = -16.373 eV/cell
formation enthalpy at 0 K = 0.23 eV per atom

Cell: 3.3177 3.3287 9.1735 Å, 90.00 90.00 90.00°
Closest atoms and distances in Å follow each position.
Sites, in units of the cell vectors:
1 Tl 0.0000 0.0000 0.0000  8 Tl 3.32-3.55
2 Tl 0.5000 0.5000 0.2894  4 Ir 2.96, 2 Tl 3.32
3 Ir 0.0000 0.0000 0.4862  4 Pb 2.91, 4 Tl 2.96
4 Pb 0.5000 0.5000 0.6740  4 Ir 2.91


[6]
Compound: TlIrPb
Source: the Alexandria database
Functional: PBE
Structure: optimized geometry

Calculated values
offset from the most stable computed form = 0 meV per atom
space-group type = F-43m
E = -56.826 eV/cell
formation enthalpy at 0 K = 0.24 eV per atom

Cell: 6.6455 6.6455 6.6455 Å, 90.00 90.00 90.00°
Closest atoms and distances in Å follow each position.
Sites, in units of the cell vectors:
1 Tl 0.0000 0.0000 0.0000  4 Ir 2.88
2 Tl 0.0000 0.5000 0.5000  4 Ir 2.88
3 Tl 0.5000 0.0000 0.5000  4 Ir 2.88
4 Tl 0.5000 0.5000 0.0000  4 Ir 2.88
5 Ir 0.2500 0.2500 0.7500  4 Tl 2.88, 4 Pb 2.88
6 Ir 0.2500 0.7500 0.2500  4 Tl 2.88, 4 Pb 2.88
7 Ir 0.7500 0.2500 0.2500  4 Tl 2.88, 4 Pb 2.88
8 Ir 0.7500 0.7500 0.7500  4 Tl 2.88, 4 Pb 2.88
9 Pb 0.0000 0.0000 0.5000  4 Ir 2.88
10 Pb 0.0000 0.5000 0.0000  4 Ir 2.88
11 Pb 0.5000 0.0000 0.0000  4 Ir 2.88
12 Pb 0.5000 0.5000 0.5000  4 Ir 2.88


[7]
Compound: TlIr2Pb
Source: the Alexandria database
Functional: PBE
Structure: optimized geometry

Calculated values
offset from the most stable computed form = 212 meV per atom
space-group type = R-3m
E = -63.938 eV/cell
formation enthalpy at 0 K = 0.62 eV per atom

Cell: 3.2326 3.2326 25.8436 Å, 90.00 90.00 120.00°
Closest atoms and distances in Å follow each position.
Sites, in units of the cell vectors:
1 Tl 0.0000 0.0000 0.0000  6 Ir 2.86
2 Tl 0.3333 0.6667 0.6667  6 Ir 2.86
3 Tl 0.6667 0.3333 0.3333  6 Ir 2.86
4 Ir 0.0000 0.0000 0.2496  3 Pb 2.84, 3 Tl 2.86
5 Ir 0.0000 0.0000 0.7504  3 Pb 2.84, 3 Tl 2.86
6 Ir 0.3333 0.6667 0.4171  3 Pb 2.84, 3 Tl 2.86
7 Ir 0.3333 0.6667 0.9163  3 Pb 2.84, 3 Tl 2.86
8 Ir 0.6667 0.3333 0.0837  3 Pb 2.84, 3 Tl 2.86
9 Ir 0.6667 0.3333 0.5829  3 Pb 2.84, 3 Tl 2.86
10 Pb 0.0000 0.0000 0.5000  6 Ir 2.84
11 Pb 0.3333 0.6667 0.1667  6 Ir 2.84
12 Pb 0.6667 0.3333 0.8333  6 Ir 2.84


[8]
Compound: Tl2IrPb
Source: the Alexandria database
Functional: PBE
Structure: optimized geometry

Calculated values
offset from the most stable computed form = 60 meV per atom
space-group type = Cmmm
E = -32.270 eV/cell
formation enthalpy at 0 K = 0.29 eV per atom

Cell: 5.3142 12.9713 3.2100 Å, 90.00 90.00 90.00°
Closest atoms and distances in Å follow each position.
Sites, in units of the cell vectors:
1 Tl 0.0000 0.1834 0.0000  2 Ir 2.87, 4 Tl 3.17-3.21
2 Tl 0.0000 0.8166 0.0000  2 Ir 2.87, 4 Tl 3.17-3.21
3 Tl 0.5000 0.3166 0.0000  2 Ir 2.87, 4 Tl 3.17-3.21
4 Tl 0.5000 0.6834 0.0000  2 Ir 2.87, 4 Tl 3.17-3.21
5 Ir 0.0000 0.0000 0.5000  2 Pb 2.66, 4 Tl 2.87
6 Ir 0.5000 0.5000 0.5000  2 Pb 2.66, 4 Tl 2.87
7 Pb 0.0000 0.5000 0.5000  2 Ir 2.66
8 Pb 0.5000 0.0000 0.5000  2 Ir 2.66


[9]
Compound: TlIrPb4
Source: the Alexandria database
Functional: PBE
Structure: optimized geometry

Calculated values
space-group type = F-43m
E = -21.700 eV/cell
formation enthalpy at 0 K = 0.73 eV per atom

Cell: 6.3082 6.3082 6.3082 Å, 60.00 60.00 60.00°
Closest atoms and distances in Å follow each position.
Sites, in units of the cell vectors:
1 Tl 0.0000 0.0000 0.0000  12 Pb 3.70, 4 Ir 3.86
2 Ir 0.7500 0.7500 0.7500  12 Pb 3.70, 4 Tl 3.86
3 Pb 0.3759 0.3759 0.3759  6 Pb 3.13-3.18
4 Pb 0.3759 0.3759 0.8723  6 Pb 3.13-3.18
5 Pb 0.3759 0.8723 0.3759  6 Pb 3.13-3.18
6 Pb 0.8723 0.3759 0.3759  6 Pb 3.13-3.18


[10]
Compound: TlIr2Pb
Source: the Alexandria database
Functional: PBE
Structure: optimized geometry

Calculated values
offset from the most stable computed form = 339 meV per atom
space-group type = F-43m
E = -83.224 eV/cell
formation enthalpy at 0 K = 0.75 eV per atom

Cell: 6.8003 6.8003 6.8003 Å, 90.00 90.00 90.00°
Closest atoms and distances in Å follow each position.
Sites, in units of the cell vectors:
1 Tl 0.0000 0.0000 0.0000  4 Pb 2.94, 4 Ir 2.94
2 Tl 0.0000 0.5000 0.5000  4 Pb 2.94, 4 Ir 2.94
3 Tl 0.5000 0.0000 0.5000  4 Pb 2.94, 4 Ir 2.94
4 Tl 0.5000 0.5000 0.0000  4 Pb 2.94, 4 Ir 2.94
5 Ir 0.0000 0.0000 0.5000  4 Pb 2.94, 4 Ir 2.94
6 Ir 0.0000 0.5000 0.0000  4 Pb 2.94, 4 Ir 2.94
7 Ir 0.2500 0.2500 0.2500  4 Tl 2.94, 4 Ir 2.94
8 Ir 0.2500 0.7500 0.7500  4 Tl 2.94, 4 Ir 2.94
9 Ir 0.5000 0.0000 0.0000  4 Pb 2.94, 4 Ir 2.94
10 Ir 0.5000 0.5000 0.5000  4 Pb 2.94, 4 Ir 2.94
11 Ir 0.7500 0.2500 0.7500  4 Tl 2.94, 4 Ir 2.94
12 Ir 0.7500 0.7500 0.2500  4 Tl 2.94, 4 Ir 2.94
13 Pb 0.2500 0.2500 0.7500  4 Tl 2.94, 4 Ir 2.94
14 Pb 0.2500 0.7500 0.2500  4 Tl 2.94, 4 Ir 2.94
15 Pb 0.7500 0.2500 0.2500  4 Tl 2.94, 4 Ir 2.94
16 Pb 0.7500 0.7500 0.7500  4 Tl 2.94, 4 Ir 2.94


[11]
Compound: ZrTlIr2Pb
Source: the Alexandria database
Functional: PBE
Structure: optimized geometry

Calculated values
space-group type = P4/mmm
E = -24.528 eV/cell
formation enthalpy at 0 K = 1.56 eV per atom

Cell: 4.9621 4.9621 5.3938 Å, 90.00 90.00 90.00°
Closest atoms and distances in Å follow each position.
Sites, in units of the cell vectors:
1 Zr 0.0000 0.0000 0.0000  4 Tl 3.51, 8 Ir 3.66
2 Tl 0.5000 0.5000 0.0000  2 Pb 2.70
3 Ir 0.0000 0.5000 0.5000  2 Pb 2.48
4 Ir 0.5000 0.0000 0.5000  2 Pb 2.48
5 Pb 0.5000 0.5000 0.5000  4 Ir 2.48, 2 Tl 2.70


[12]
Compound: ZrTlIrPb2
Source: the Alexandria database
Functional: PBE
Structure: optimized geometry

Calculated values
space-group type = P4/mmm
E = -20.230 eV/cell
formation enthalpy at 0 K = 1.39 eV per atom

Cell: 5.5716 5.5716 5.5335 Å, 90.00 90.00 90.00°
Closest atoms and distances in Å follow each position.
Sites, in units of the cell vectors:
1 Zr 0.0000 0.0000 0.0000  2 Tl 2.77, 4 Pb 2.79
2 Tl 0.0000 0.0000 0.5000  2 Zr 2.77
3 Ir 0.5000 0.5000 0.5000  8 Pb 3.93, 4 Tl 3.94
4 Pb 0.0000 0.5000 0.0000  2 Zr 2.79
5 Pb 0.5000 0.0000 0.0000  2 Zr 2.79